Arrangement a

First-principles (GGA-PBE) data for a geometry-optimized Er8Th2Sc structure, as listed in Alexandria.

a = 6.5169 Å, b = 6.5278 Å, c = 8.8386 Å
α = 111.67°, β = 99.97°, γ = 90.00°
Fractional positions:
Th1 0.3409 0.2478 0.4956
Th2 0.6591 0.7522 0.5044
Er1 0.6077 0.6590 0.8339
Er2 0.8182 0.1920 0.3840
Er3 0.3923 0.8250 0.1661
Sc1 0.0000 0.0000 0.0000
Er4 0.1818 0.8080 0.6160
Er5 0.6077 0.1750 0.8339
Er6 0.9081 0.5925 0.1851
Er7 0.3923 0.3410 0.1661
Er8 0.0919 0.4075 0.8149

mass density	8.9	Mg/m³


Arrangement b

First-principles (GGA-PBE) data for a geometry-optimized Er8Th2Sc structure, as listed in Alexandria.

a = 5.5655 Å, b = 9.8737 Å, c = 9.8737 Å
α = 40.83°, β = 91.53°, γ = 91.53°
Fractional positions:
Er1 0.2590 0.6036 0.1402
Th1 0.7381 0.2800 0.2800
Th2 0.2619 0.7200 0.7200
Er2 0.2590 0.1402 0.6036
Er3 0.7410 0.8598 0.3964
Er4 0.7639 0.4531 0.4531
Sc1 0.0000 0.0000 0.0000
Er5 0.7659 0.8230 0.8230
Er6 0.7410 0.3964 0.8598
Er7 0.2341 0.1770 0.1770
Er8 0.2361 0.5469 0.5469

mass density	8.6	Mg/m³


Short version: arrangement a is the most stable of them.